Entry from the Alexandria database: an optimized crystal structure of BaSr2In (GGA-PBE).

The space group is P4mm (No. 99) and the conventional cell measures 4.2370, 4.2370 and 10.4233 Å, with angles of 90.00, 90.00 and 90.00 degrees. The inequivalent atoms are Ba at (0.0000, 0.0000, 0.0000), Sr at (0.0000, 0.0000, 0.3777), Sr at (0.5000, 0.5000, 0.6748) and In at (0.5000, 0.5000, 0.2048).

The energy relative to the elements comes out at -0.2208 eV/atom. The total energy comes out at -2.2270 eV per atom. As for the energy relative to the lowest polymorph listed for this composition: 0 meV per atom.